DFT (PBE) results for a relaxed structure of CaTeP.

Computed properties:
- total magnetic moment (μB/cell) = 0.00
- N(E_F) (states/eV per atom) = 0.5056
- final energy (eV per atom) = -3.777
- symmetry = F-43m, No. 216
- formation energy (no corrections) (meV/atom) = -259

abc: 4.9765 4.9765 4.9765
angles: 60.00 60.00 60.00
Positions (direct):
Ca 0.0000 0.0000 0.0000
Te 0.7500 0.7500 0.7500
P 0.2500 0.2500 0.2500

=====

DFT (PBE) results for a relaxed structure of Ca2TeP.

Computed properties:
- total magnetic moment (μB/cell) = 0.00
- N(E_F) (states/eV per atom) = 0.5068
- final energy (eV per atom) = -4.052
- symmetry = I-4m2, No. 119
- formation energy (no corrections) (meV/atom) = -913

abc: 6.4975 6.4975 6.4975
angles: 141.54 141.54 55.52
Positions (direct):
Ca 0.0000 0.0000 0.0000
Ca 0.7500 0.2500 0.5000
Te 0.5000 0.5000 0.0000
P 0.2500 0.7500 0.5000

=====

DFT (PBE) results for a relaxed structure of CaTeP.

Computed properties:
- total magnetic moment (μB/cell) = 0.00
- N(E_F) (states/eV per atom) = 0.8138
- final energy (eV per atom) = -3.653
- symmetry = P3m1, No. 156
- formation energy (no corrections) (meV/atom) = -135

abc: 3.8436 3.8436 6.2259
angles: 90.00 90.00 120.00
Positions (direct):
Ca 0.0000 0.0000 0.0000
Te 0.3333 0.6667 0.6095
P 0.6667 0.3333 0.3090

=====

DFT (PBE) results for a relaxed structure of Ca2TeP.

Computed properties:
- total magnetic moment (μB/cell) = 0.00
- N(E_F) (states/eV per atom) = 0.6121
- final energy (eV per atom) = -4.154
- symmetry = Cm, No. 8
- formation energy (no corrections) (meV/atom) = -1015

abc: 6.3168 6.3168 4.5136
angles: 96.18 96.18 38.06
Positions (direct):
Ca 0.0000 0.0000 0.0000
Ca 0.7373 0.7373 0.4963
Te 0.4668 0.4668 0.4863
P 0.2400 0.2400 0.0008

=====

DFT (PBE) results for a relaxed structure of CaTeP2.

Computed properties:
- total magnetic moment (μB/cell) = 0.00
- N(E_F) (states/eV per atom) = 0.6062
- final energy (eV per atom) = -4.107
- symmetry = I-4m2, No. 119
- formation energy (no corrections) (meV/atom) = -116

abc: 5.9729 5.9729 5.9729
angles: 139.99 139.99 57.86
Positions (direct):
Ca 0.0000 0.0000 0.0000
Te 0.7500 0.2500 0.5000
P 0.2500 0.7500 0.5000
P 0.5000 0.5000 0.0000

=====

DFT (PBE) results for a relaxed structure of CaTeP2.

Computed properties:
- total magnetic moment (μB/cell) = 0.00
- N(E_F) (states/eV per atom) = 0.1841
- final energy (eV per atom) = -4.030
- symmetry = I-42d, No. 122
- formation energy (no corrections) (meV/atom) = -40

abc: 8.0050 8.0050 8.0050
angles: 134.64 134.64 66.08
Positions (direct):
Ca 0.0000 0.0000 0.0000
Ca 0.7500 0.2500 0.5000
Te 0.2500 0.7500 0.5000
Te 0.5000 0.5000 0.0000
P 0.1538 0.6250 0.0288
P 0.3750 0.4038 0.5288
P 0.5962 0.1250 0.9712
P 0.8750 0.8462 0.4712

=====

DFT (PBE) results for a relaxed structure of CaTeP2.

Computed properties:
- total magnetic moment (μB/cell) = 0.00
- N(E_F) (states/eV per atom) = 0.5808
- final energy (eV per atom) = -4.131
- symmetry = P4mm, No. 99
- formation energy (no corrections) (meV/atom) = -140

abc: 4.0358 4.0358 5.8558
angles: 90.00 90.00 90.00
Positions (direct):
Ca 0.0000 0.0000 0.0000
Te 0.5000 0.5000 0.8304
P 0.0000 0.0000 0.4687
P 0.5000 0.5000 0.3959

=====

DFT (PBE) results for a relaxed structure of CaTeP2.

Computed properties:
- total magnetic moment (μB/cell) = 0.00
- N(E_F) (states/eV per atom) = 0.4814
- final energy (eV per atom) = -4.286
- symmetry = P4/mmm, No. 123
- formation energy (no corrections) (meV/atom) = -296

abc: 4.1662 4.1662 5.8906
angles: 90.00 90.00 90.00
Positions (direct):
Ca 0.0000 0.0000 0.0000
Te 0.0000 0.0000 0.5000
P 0.5000 0.5000 0.1756
P 0.5000 0.5000 0.8244

=====

DFT (PBE) results for a relaxed structure of CaTeP2.

Computed properties:
- total magnetic moment (μB/cell) = 0.00
- N(E_F) (states/eV per atom) = 0.0470
- final energy (eV per atom) = -4.444
- symmetry = P2/m, No. 10
- formation energy (no corrections) (meV/atom) = -454

abc: 4.7232 4.0097 5.5215
angles: 90.00 102.47 90.00
Positions (direct):
Ca 0.0000 0.0000 0.0000
Te 0.5000 0.0000 0.5000
P 0.3494 0.5000 0.8191
P 0.6506 0.5000 0.1809

=====

DFT (PBE) results for a relaxed structure of Ca2TeP.

Computed properties:
- total magnetic moment (μB/cell) = 0.00
- N(E_F) (states/eV per atom) = 1.1721
- final energy (eV per atom) = -4.083
- symmetry = Fm-3m, No. 225
- formation energy (no corrections) (meV/atom) = -944

abc: 5.2792 5.2792 5.2792
angles: 60.00 60.00 60.00
Positions (direct):
Ca 0.2500 0.2500 0.2500
Ca 0.7500 0.7500 0.7500
Te 0.0000 0.0000 0.0000
P 0.5000 0.5000 0.5000

=====

DFT (PBE) results for a relaxed structure of CaTeP2.

Computed properties:
- total magnetic moment (μB/cell) = 0.00
- N(E_F) (states/eV per atom) = 0.1964
- final energy (eV per atom) = -4.316
- symmetry = P4mm, No. 99
- formation energy (no corrections) (meV/atom) = -325

abc: 3.2917 3.2917 8.8156
angles: 90.00 90.00 90.00
Positions (direct):
Ca 0.0000 0.0000 0.0000
Te 0.5000 0.5000 0.7374
P 0.0000 0.0000 0.3240
P 0.5000 0.5000 0.2366

=====

DFT (PBE) results for a relaxed structure of CaTeP2.

Computed properties:
- total magnetic moment (μB/cell) = 0.00
- N(E_F) (states/eV per atom) = 0.4471
- final energy (eV per atom) = -4.139
- symmetry = P4/mmm, No. 123
- formation energy (no corrections) (meV/atom) = -149

abc: 4.7655 4.7655 3.7739
angles: 90.00 90.00 90.00
Positions (direct):
Ca 0.0000 0.0000 0.0000
Te 0.5000 0.5000 0.0000
P 0.0000 0.5000 0.5000
P 0.5000 0.0000 0.5000